Record 1
This record from Alexandria via LeMat-Bulk describes a PBEsol-optimized structure of K3Er. The functional is SCAN.

The structure in extended XYZ format:
```
4
Lattice="-1.562 0.826 -6.470 -3.202 -4.866 -3.325 -6.400 0.835 -1.825" Properties=species:S:1:pos:R:3 pbc="T T T"
K -2.791 -0.801 -2.905
K -8.372 -2.403 -8.714
K -5.582 -1.602 -5.810
Er 0.000 0.000 0.000
```

Results
SG = Fm-3m
Excess energy over the best structure of this formula in the dataset = 0.005 eV per atom
Total energy = -72.8 eV for the cell shown
Formation enthalpy at 0 K = 0.64 eV per atom

=====

Record 2
This record from Alexandria via LeMat-Bulk describes a PBEsol-optimized structure of RbBi2Pd. The functional is SCAN.

The structure in extended XYZ format:
```
4
Lattice="-5.090 1.265 0.612 -3.457 -1.021 -3.859 -3.609 -3.804 0.626" Properties=species:S:1:pos:R:3 pbc="T T T"
Rb 0.000 0.000 0.000
Bi -3.039 -0.890 -0.655
Bi -9.117 -2.670 -1.966
Pd -6.078 -1.780 -1.310
```

Results
SG = Fm-3m
Excess energy over the best structure of this formula in the dataset = 0.195 eV per atom
Total energy = -210.2 eV for the cell shown
Formation enthalpy at 0 K = 0.12 eV per atom

=====

Record 3
This record from Alexandria via LeMat-Bulk describes a PBEsol-optimized structure of Zr2ScNi. The functional is SCAN.

The structure in extended XYZ format:
```
4
Lattice="4.694 0.000 0.000 2.347 4.065 0.000 2.347 1.355 3.832" Properties=species:S:1:pos:R:3 pbc="T T T"
Ni 0.000 0.000 0.000
Sc 4.694 2.710 1.916
Zr 2.347 1.355 0.958
Zr 7.041 4.065 2.874
```

Results
SG = Fm-3m
Excess energy over the best structure of this formula in the dataset = 0.311 eV per atom
Total energy = -91.4 eV for the cell shown
Formation enthalpy at 0 K = 0.10 eV per atom

=====

| no. | DOS at the Fermi energy (states/eV per cell) |
| --- | --- |
| 1 | 5.42 |
| 2 | 1.60 |
| 3 | 5.72 |